1.
VASP calculation (PBE-GGA) on a relaxed structure of Tl12Br3F5.

Lattice parameters (Å, degrees): 17.423 17.423 17.423 90.00 90.00 90.00
Space group Ia-3d (No. 230)
One atom of each set of equivalent atoms:
Tl 0.038 0.059 0.644 (multiplicity 96)
Br 0.000 0.250 0.125 (multiplicity 24)
F 0.000 0.000 0.000 (multiplicity 16)
F 0.000 0.250 0.375 (multiplicity 24)

Output
E_form (uncorrected) in meV/atom: -921
DOS at the Fermi energy in states/eV/cell: 95.182

2.
VASP calculation (PBE-GGA) on a relaxed structure of TlBr2F.

Lattice parameters (Å, degrees): 6.649 5.965 13.193 90.00 90.00 90.00
Space group Pnna (No. 52)
One atom of each set of equivalent atoms:
Tl 0.250 0.000 0.140 (multiplicity 4)
Br 0.040 0.247 0.594 (multiplicity 8)
F 0.117 0.250 0.250 (multiplicity 4)

Output
E_form (uncorrected) in meV/atom: -897

Number 1: electronic total energy -489.51 eV per cell. Number 2: electronic total energy -44.69 eV per cell.